Record 1
Here is YLuCd2 at its PBEsol-relaxed geometry from Alexandria via LeMat-Bulk. Energies are from meta-GGA SCAN.

Its total energy is -36.4588 eV per atom. The energy relative to the elements is -0.45 eV per atom. Its total moment is 0.000 μB/f.u.

The space group is Fm-3m (No. 225) and the conventional cell measures 7.288, 7.288 and 7.288 Å, with angles of 90.00, 90.00 and 90.00 degrees. Symmetry generates all atoms from Y at (0.000, 0.000, 0.000), Lu at (0.000, 0.000, 0.500) and Cd at (0.250, 0.250, 0.250).

=====

Record 2
Here is MgCd5 at its PBEsol-relaxed geometry from Alexandria via LeMat-Bulk. Energies are from meta-GGA SCAN.

Its total energy is -26.1992 eV per atom. The energy relative to the elements is -0.02 eV per atom. Its total moment is 0.000 μB/f.u.

The space group is P-6m2 (No. 187) and the conventional cell measures 3.1569, 3.1569 and 14.5184 Å, with angles of 90.00, 90.00 and 120.00 degrees. Symmetry generates all atoms from Mg at (0.0000, 0.0000, 0.0000), Cd at (0.0000, 0.0000, 0.3332), Cd at (0.3333, 0.6667, 0.1660) and Cd at (0.3333, 0.6667, 0.5000).

=====

Record 3
Here is Mg4Cd3 at its PBEsol-relaxed geometry from Alexandria via LeMat-Bulk. Energies are from meta-GGA SCAN.

Its total energy is -15.9464 eV per atom. The energy relative to the elements is -0.07 eV per atom. The energy above the most stable polymorph in this dataset is 26 kJ/mol of formula units. Its total moment is 0.000 μB/f.u.

The space group is P6/mmm (No. 191) and the conventional cell measures 5.5973, 5.5973 and 5.6617 Å, with angles of 90.00, 90.00 and 120.00 degrees. Symmetry generates all atoms from Mg at (0.0000, 0.0000, 0.2452), Mg at (0.3333, 0.6667, 0.0000) and Cd at (0.0000, 0.5000, 0.5000).

=====

Record 4
Here is MgCd3 at its PBEsol-relaxed geometry from Alexandria via LeMat-Bulk. Energies are from meta-GGA SCAN.

Its total energy is -24.1473 eV per atom. The energy relative to the elements is -0.09 eV per atom. The energy above the most stable polymorph in this dataset is 0 kJ/mol of formula units. Its total moment is 0.000 μB/f.u.

The space group is Pmmn (No. 59, origin choice 2) and the conventional cell measures 4.991, 6.253 and 5.267 Å, with angles of 90.00, 90.00 and 90.00 degrees. Symmetry generates all atoms from Mg at (0.250, 0.250, 0.163), Cd at (0.250, 0.001, 0.666) and Cd at (0.250, 0.750, 0.169).

=====

Record 5
Here is MgCd5 at its PBEsol-relaxed geometry from Alexandria via LeMat-Bulk. Energies are from meta-GGA SCAN.

Its total energy is -26.2272 eV per atom. The energy relative to the elements is -0.05 eV per atom. Its total moment is 0.000 μB/f.u.

The space group is P-62m (No. 189) and the conventional cell measures 5.2946, 5.2946 and 5.0933 Å, with angles of 90.00, 90.00 and 120.00 degrees. Symmetry generates all atoms from Mg at (0.0000, 0.0000, 0.0000), Cd at (0.0000, 0.6648, 0.5000) and Cd at (0.3333, 0.6667, 0.0000).

=====

Record 6
Here is Mg5Cd at its PBEsol-relaxed geometry from Alexandria via LeMat-Bulk. Energies are from meta-GGA SCAN.

Its total energy is -9.2767 eV per atom. The energy relative to the elements is -0.06 eV per atom. Its total moment is 0.000 μB/f.u.

The space group is Amm2 (No. 38) and the conventional cell measures 5.055, 3.167 and 16.313 Å, with angles of 90.00, 90.00 and 90.00 degrees. Symmetry generates all atoms from Mg at (0.000, 0.000, 0.000), Mg at (0.000, 0.000, 0.328), Mg at (0.500, 0.000, 0.218), Mg at (0.500, 0.000, 0.553), Mg at (0.500, 0.000, 0.887) and Cd at (0.000, 0.000, 0.663).

=====

Record 7
Here is MgCd3 at its PBEsol-relaxed geometry from Alexandria via LeMat-Bulk. Energies are from meta-GGA SCAN.

Its total energy is -24.1043 eV per atom. The energy relative to the elements is -0.05 eV per atom. The energy above the most stable polymorph in this dataset is 17 kJ/mol of formula units. Its total moment is 0.006 μB/f.u.

The space group is P-6m2 (No. 187) and the conventional cell measures 3.1753, 3.1753 and 9.5841 Å, with angles of 90.00, 90.00 and 120.00 degrees. Symmetry generates all atoms from Mg at (0.0000, 0.0000, 0.0000), Cd at (0.0000, 0.0000, 0.5000) and Cd at (0.3333, 0.6667, 0.2487).

=====

Record 8
Here is Mg5Cd at its PBEsol-relaxed geometry from Alexandria via LeMat-Bulk. Energies are from meta-GGA SCAN.

Its total energy is -9.2765 eV per atom. The energy relative to the elements is -0.06 eV per atom. Its total moment is 0.000 μB/f.u.

The space group is Cmmm (No. 65) and the conventional cell measures 4.475, 13.220 and 4.422 Å, with angles of 90.00, 90.00 and 90.00 degrees. Symmetry generates all atoms from Mg at (0.000, 0.000, 0.000), Mg at (0.000, 0.163, 0.500), Mg at (0.000, 0.335, 0.000) and Cd at (0.000, 0.500, 0.500).

=====

Record 9
Here is Mg5Cd at its PBEsol-relaxed geometry from Alexandria via LeMat-Bulk. Energies are from meta-GGA SCAN.

Its total energy is -9.2959 eV per atom. The energy relative to the elements is -0.08 eV per atom. Its total moment is 0.000 μB/f.u.

The space group is P-62m (No. 189) and the conventional cell measures 5.4417, 5.4417 and 5.0646 Å, with angles of 90.00, 90.00 and 120.00 degrees. Symmetry generates all atoms from Mg at (0.0000, 0.6731, 0.0000), Mg at (0.3333, 0.6667, 0.5000) and Cd at (0.0000, 0.0000, 0.5000).

=====

Record 10
Here is Mg4Cd at its PBEsol-relaxed geometry from Alexandria via LeMat-Bulk. Energies are from meta-GGA SCAN.

Its total energy is -10.1373 eV per atom. The energy relative to the elements is -0.08 eV per atom. Its total moment is 0.000 μB/f.u.

The space group is I4/m (No. 87) and the conventional cell measures 6.980, 6.980 and 4.460 Å, with angles of 90.00, 90.00 and 90.00 degrees. Symmetry generates all atoms from Mg at (0.103, 0.701, 0.000) and Cd at (0.000, 0.000, 0.500).

=====

Record 11
Here is MgCd3 at its PBEsol-relaxed geometry from Alexandria via LeMat-Bulk. Energies are from meta-GGA SCAN.

Its total energy is -24.1217 eV per atom. The energy relative to the elements is -0.07 eV per atom. The energy above the most stable polymorph in this dataset is 10 kJ/mol of formula units. Its total moment is 0.000 μB/f.u.

The space group is Pnma (No. 62) and the conventional cell measures 5.345, 9.889 and 6.290 Å, with angles of 90.00, 90.00 and 90.00 degrees. Symmetry generates all atoms from Mg at (0.080, 0.250, 0.116), Cd at (0.079, 0.250, 0.619) and Cd at (0.247, 0.003, 0.371).

=====

Record 12
Here is MgCd3 at its PBEsol-relaxed geometry from Alexandria via LeMat-Bulk. Energies are from meta-GGA SCAN.

Its total energy is -24.1212 eV per atom. The energy relative to the elements is -0.07 eV per atom. The energy above the most stable polymorph in this dataset is 10 kJ/mol of formula units. Its total moment is 0.000 μB/f.u.

The space group is Cmmm (No. 65) and the conventional cell measures 6.095, 8.720 and 3.159 Å, with angles of 90.00, 90.00 and 90.00 degrees. Symmetry generates all atoms from Mg at (0.000, 0.000, 0.000), Cd at (0.000, 0.500, 0.000) and Cd at (0.250, 0.250, 0.500).